# 1
## ReO2 (PBE-GGA)

Data for a relaxed structure of ReO2.

Results
The calculation puts the energy at -8.6984 eV per atom. The calculation puts the magnetic moment at 0.00 μB per cell. The space group is No. 31.

Cell: 2.7687 4.9951 10.0259 Å, 90.00 90.00 90.00°
Closest atoms and distances in Å follow each position.
Sites, in units of the cell vectors:
O 0.0000 0.8539 0.1111  3 Re 2.05-2.06
Re 0.0000 0.9354 0.5025  6 O 2.04-2.06
O 0.0000 0.2056 0.8678  3 Re 2.04-2.06
O 0.0000 0.2956 0.4037  3 Re 2.05
O 0.5000 0.3513 0.1469  3 Re 2.04-2.06
O 0.5000 0.7944 0.3678  3 Re 2.04-2.06
Re 0.0000 0.4927 0.0122  6 O 2.04-2.06
Re 0.5000 0.0646 0.0025  6 O 2.04-2.06
Re 0.5000 0.5073 0.5122  6 O 2.04-2.06
O 0.5000 0.7044 0.9037  3 Re 2.05
O 0.5000 0.1461 0.6111  3 Re 2.05-2.06
O 0.0000 0.6487 0.6469  3 Re 2.04-2.06

# 2
## Re2S2O13 (PBE-GGA)

Data for a relaxed structure of Re2S2O13.

Results
For the energy above the most stable polymorph in this dataset, the calculation gives 0 meV per atom. The calculation puts the magnetic moment at 0.00 μB per cell. The space group is No. 32.

Cell: 9.5764 8.1945 5.7059 Å, 90.00 90.00 90.00°
Closest atoms and distances in Å follow each position.
Sites, in units of the cell vectors:
Re 0.6055 0.1845 0.0451  3 O 1.71-1.89
O 0.5498 0.3162 0.2580  1 Re 1.71
O 0.7608 0.1117 0.1487  1 Re 1.71
S 0.6760 0.8672 0.6998  4 O 1.42-1.57
O 0.6420 0.0432 0.7248  1 S 1.48
O 0.2392 0.8883 0.1487  1 Re 1.71
O 0.1420 0.4568 0.7248  1 S 1.48
O 0.5000 0.0000 0.1336  2 Re 1.89
O 0.4502 0.6838 0.2580  1 Re 1.71
O 0.9258 0.2631 0.8302  1 S 1.49
O 0.1932 0.6787 0.4623  1 S 1.42
O 0.4258 0.2369 0.8302  1 S 1.49
O 0.0498 0.1838 0.2580  1 Re 1.71
O 0.6932 0.8213 0.4623  1 S 1.42
S 0.3240 0.1328 0.6998  4 O 1.42-1.57
O 0.3162 0.6488 0.8392  1 S 1.57
O 0.2608 0.3883 0.1487  1 Re 1.71
O 0.3580 0.9569 0.7248  1 S 1.48
O 0.9502 0.8162 0.2580  1 Re 1.71
O 0.8580 0.5432 0.7248  1 S 1.48
O 0.3068 0.1787 0.4623  1 S 1.42
Re 0.3945 0.8155 0.0451  3 O 1.71-1.89
S 0.8240 0.3672 0.6998  4 O 1.42-1.57
O 0.8162 0.8512 0.8392  1 S 1.57
O 0.1838 0.1488 0.8392  1 S 1.57
O 0.8068 0.3213 0.4623  1 S 1.42
Re 0.8945 0.6845 0.0451  3 O 1.71-1.89
Re 0.1055 0.3155 0.0451  3 O 1.71-1.89
O 0.6838 0.3512 0.8392  1 S 1.57
O 0.0000 0.5000 0.1336  2 Re 1.89
O 0.7392 0.6117 0.1487  1 Re 1.71
O 0.0742 0.7369 0.8302  1 S 1.49
S 0.1760 0.6328 0.6998  4 O 1.42-1.57
O 0.5742 0.7631 0.8302  1 S 1.49

Copy entry 1 word for word.
## ReO2 (PBE-GGA)

Data for a relaxed structure of ReO2.

Results
The calculation puts the energy at -8.6984 eV per atom. The calculation puts the magnetic moment at 0.00 μB per cell. The space group is No. 31.

Cell: 2.7687 4.9951 10.0259 Å, 90.00 90.00 90.00°
Closest atoms and distances in Å follow each position.
Sites, in units of the cell vectors:
O 0.0000 0.8539 0.1111  3 Re 2.05-2.06
Re 0.0000 0.9354 0.5025  6 O 2.04-2.06
O 0.0000 0.2056 0.8678  3 Re 2.04-2.06
O 0.0000 0.2956 0.4037  3 Re 2.05
O 0.5000 0.3513 0.1469  3 Re 2.04-2.06
O 0.5000 0.7944 0.3678  3 Re 2.04-2.06
Re 0.0000 0.4927 0.0122  6 O 2.04-2.06
Re 0.5000 0.0646 0.0025  6 O 2.04-2.06
Re 0.5000 0.5073 0.5122  6 O 2.04-2.06
O 0.5000 0.7044 0.9037  3 Re 2.05
O 0.5000 0.1461 0.6111  3 Re 2.05-2.06
O 0.0000 0.6487 0.6469  3 Re 2.04-2.06

Look up the magnetic moment of the first one. 0.00 μB per cell